# 1
The following is a DFT calculation (PBE) of La6Y16Ho7 after structural relaxation.

The calculation puts the total DFT energy (no corrections) at -5.499 eV per atom.

The space group is Fm-3m (No. 225) and the conventional cell measures 15.8369, 15.8369 and 15.8369 Å, with angles of 90.00, 90.00 and 90.00 degrees. The asymmetric unit holds La at (0.0000, 0.0000, 0.2216), Y at (0.1159, 0.1159, 0.3841), Y at (0.1493, 0.1493, 0.1493), Ho at (0.0000, 0.0000, 0.0000) and Ho at (0.0000, 0.2500, 0.2500).


# 2
The following is a DFT calculation (PBE) of La4Y8Ho after structural relaxation.

The calculation puts the total DFT energy (no corrections) at -5.307 eV per atom.

The space group is R-3m (No. 166, hexagonal axes) and the conventional cell measures 11.1414, 11.1414 and 13.6063 Å, with angles of 90.00, 90.00 and 120.00 degrees. The asymmetric unit holds La at (0.0000, 0.0000, 0.0000), La at (0.0000, 0.5000, 0.0000), Y at (0.0000, 0.0000, 0.2406), Y at (0.0123, 0.5061, 0.7464) and Ho at (0.0000, 0.0000, 0.5000).


# 3
The following is a DFT calculation (PBE) of La2Y5Ho3 after structural relaxation.

The calculation puts the total DFT energy (no corrections) at -5.404 eV per atom.

The space group is C2/c (No. 15) and the conventional cell measures 10.7039, 16.4318 and 9.2967 Å, with angles of 90.00, 125.14 and 90.00 degrees. The asymmetric unit holds La at (0.1426, 0.1252, 0.0442), Y at (0.0000, 0.2282, 0.2500), Y at (0.0000, 0.2754, 0.7500), Y at (0.0000, 0.4724, 0.7500), Y at (0.2374, 0.3807, 0.2330), Ho at (0.0000, 0.0257, 0.2500) and Ho at (0.1535, 0.3780, 0.5474).


# 4
The following is a DFT calculation (PBE) of LaYHo5 after structural relaxation.

The calculation puts the total DFT energy (no corrections) at -3.762 eV per atom.

The space group is Immm (No. 71) and the conventional cell measures 5.7926, 8.6161 and 11.8401 Å, with angles of 90.00, 90.00 and 90.00 degrees. The asymmetric unit holds La at (0.0000, 0.0000, 0.0000), Y at (0.0000, 0.0000, 0.5000), Ho at (0.0000, 0.0000, 0.2526), Ho at (0.0000, 0.3208, 0.5000) and Ho at (0.0000, 0.5000, 0.0000).


# 5
The following is a DFT calculation (PBE) of La2Y4Ho after structural relaxation.

As for the energy above the most stable polymorph in this dataset: 256.2 meV per atom. The calculation puts the total DFT energy (no corrections) at -5.432 eV per atom.

The space group is Cmmm (No. 65) and the conventional cell measures 3.4675, 26.5967 and 5.6334 Å, with angles of 90.00, 90.00 and 90.00 degrees. The asymmetric unit holds La at (0.0000, 0.1952, 0.0000), Y at (0.0000, 0.1146, 0.5000), Y at (0.0000, 0.4279, 0.0000) and Ho at (0.0000, 0.5000, 0.5000).


# 6
The following is a DFT calculation (PBE) of La5Y2Ho6 after structural relaxation.

The calculation puts the total DFT energy (no corrections) at -4.907 eV per atom.

The space group is Pbam (No. 55) and the conventional cell measures 11.7207, 20.7520 and 3.6274 Å, with angles of 90.00, 90.00 and 90.00 degrees. The asymmetric unit holds La at (0.0000, 0.0000, 0.0000), La at (0.0815, 0.2716, 0.0000), La at (0.2000, 0.5478, 0.0000), Y at (0.1722, 0.7103, 0.5000), Ho at (0.0615, 0.4181, 0.5000), Ho at (0.0793, 0.1313, 0.5000) and Ho at (0.1765, 0.8608, 0.0000).


# 7
The following is a DFT calculation (PBE) of La2Y2Ho after structural relaxation.

As for the energy above the most stable polymorph in this dataset: 0.0 meV per atom. The calculation puts the total DFT energy (no corrections) at -5.242 eV per atom.

The space group is C2/c (No. 15) and the conventional cell measures 8.7331, 9.6805 and 8.8082 Å, with angles of 90.00, 108.88 and 90.00 degrees. The asymmetric unit holds La at (0.0000, 0.0000, 0.0000), La at (0.2500, 0.2500, 0.0000), Y at (0.1521, 0.4079, 0.6326) and Ho at (0.0000, 0.2973, 0.2500).


# 8
The following is a DFT calculation (PBE) of La3Y8Ho2 after structural relaxation.

As for the energy above the most stable polymorph in this dataset: 5.1 meV per atom. The calculation puts the total DFT energy (no corrections) at -5.568 eV per atom.

The space group is C2/m (No. 12) and the conventional cell measures 20.1913, 7.7885 and 5.7111 Å, with angles of 90.00, 90.07 and 90.00 degrees. The asymmetric unit holds La at (0.0000, 0.0000, 0.0000), La at (0.0000, 0.2994, 0.5000), Y at (0.1096, 0.2920, 0.0004), Y at (0.1366, 0.0000, 0.4994), Y at (0.1751, 0.5000, 0.5013) and Ho at (0.2407, 0.0000, 0.9984).


# 9
The following is a DFT calculation (PBE) of La4Y15Ho after structural relaxation.

The calculation puts the total DFT energy (no corrections) at -6.032 eV per atom.

The space group is P4/mmm (No. 123) and the conventional cell measures 5.1127, 5.1127 and 25.4145 Å, with angles of 90.00, 90.00 and 90.00 degrees. The asymmetric unit holds La at (0.0000, 0.0000, 0.1008), La at (0.0000, 0.0000, 0.3009), Y at (0.0000, 0.5000, 0.0000), Y at (0.0000, 0.5000, 0.2014), Y at (0.0000, 0.5000, 0.4028), Y at (0.5000, 0.5000, 0.1006), Y at (0.5000, 0.5000, 0.3022), Y at (0.5000, 0.5000, 0.5000) and Ho at (0.0000, 0.0000, 0.5000).


# 10
The following is a DFT calculation (PBE) of La2Y4Ho3 after structural relaxation.

As for the energy above the most stable polymorph in this dataset: 0.0 meV per atom. The calculation puts the total DFT energy (no corrections) at -5.398 eV per atom.

The space group is C2/c (No. 15) and the conventional cell measures 16.4872, 11.7090 and 6.1761 Å, with angles of 90.00, 96.48 and 90.00 degrees. The asymmetric unit holds La at (0.1219, 0.1461, 0.3225), Y at (0.0477, 0.3618, 0.0155), Y at (0.2173, 0.1361, 0.8488), Ho at (0.0000, 0.0995, 0.7500) and Ho at (0.1645, 0.4009, 0.5973).


# 11
The following is a DFT calculation (PBE) of La2Y3Ho3 after structural relaxation.

As for the energy above the most stable polymorph in this dataset: 89.3 meV per atom. The calculation puts the total DFT energy (no corrections) at -5.250 eV per atom.

The space group is Cmcm (No. 63) and the conventional cell measures 3.6115, 17.6925 and 16.8326 Å, with angles of 90.00, 90.00 and 90.00 degrees. The asymmetric unit holds La at (0.0000, 0.2197, 0.1516), Y at (0.0000, 0.3577, 0.0144), Y at (0.0000, 0.3929, 0.2500), Ho at (0.0000, 0.0053, 0.1000) and Ho at (0.0000, 0.4220, 0.7500).


# 12
The following is a DFT calculation (PBE) of La8YHo2 after structural relaxation.

As for the energy above the most stable polymorph in this dataset: 0.0 meV per atom. The calculation puts the total DFT energy (no corrections) at -4.983 eV per atom.

The space group is C2/m (No. 12) and the conventional cell measures 18.7134, 5.2251 and 8.2382 Å, with angles of 90.00, 105.26 and 90.00 degrees. The asymmetric unit holds La at (0.0473, 0.0000, 0.2264), La at (0.0922, 0.5000, 0.9548), La at (0.1380, 0.0000, 0.6866), La at (0.1820, 0.5000, 0.4121), Y at (0.0000, 0.5000, 0.5000) and Ho at (0.2267, 0.0000, 0.1342).